Run A
VASP calculation (PBE) on an optimized crystal structure of YTlCdTe3.

Properties
Total moment (μB/f.u.): 0.00

a b c (Å): 8.7113 4.7162 18.6984
angles (deg): 90.00 90.00 90.00
Sites, in units of the cell vectors:
1 Y 0.2323 0.2500 0.0400
2 Y 0.2677 0.7500 0.5400
3 Y 0.7323 0.2500 0.4600
4 Y 0.7677 0.7500 0.9600
5 Tl 0.0594 0.2500 0.8044
6 Tl 0.4406 0.7500 0.3044
7 Tl 0.5594 0.2500 0.6956
8 Tl 0.9406 0.7500 0.1956
9 Cd 0.0783 0.2500 0.3405
10 Cd 0.4217 0.7500 0.8405
11 Cd 0.5783 0.2500 0.1595
12 Cd 0.9217 0.7500 0.6595
13 Te 0.0041 0.2500 0.5760
14 Te 0.1272 0.7500 0.9414
15 Te 0.2331 0.2500 0.2063
16 Te 0.2669 0.7500 0.7063
17 Te 0.3728 0.2500 0.4414
18 Te 0.4959 0.7500 0.0760
19 Te 0.5041 0.2500 0.9240
20 Te 0.6272 0.7500 0.5586
21 Te 0.7331 0.2500 0.2937
22 Te 0.7669 0.7500 0.7937
23 Te 0.8728 0.2500 0.0586
24 Te 0.9959 0.7500 0.4240

Run B
VASP calculation (PBE) on an optimized crystal structure of YTlCdTe3.

Properties
Total moment (μB/f.u.): 0.00

a b c (Å): 8.0680 8.0680 11.7412
angles (deg): 90.00 90.00 147.93
Sites, in units of the cell vectors:
1 Y 0.0000 0.0000 0.0000
2 Y 0.0000 0.0000 0.5000
3 Tl 0.2409 0.7591 0.7500
4 Tl 0.7591 0.2409 0.2500
5 Cd 0.4629 0.5371 0.2500
6 Cd 0.5371 0.4629 0.7500
7 Te 0.0796 0.9204 0.2500
8 Te 0.3636 0.6364 0.0488
9 Te 0.3636 0.6364 0.4512
10 Te 0.6364 0.3636 0.5488
11 Te 0.6364 0.3636 0.9512
12 Te 0.9204 0.0796 0.7500

Run C
VASP calculation (PBE) on an optimized crystal structure of YTlCdTe3.

Properties
Total moment (μB/f.u.): 0.00

a b c (Å): 8.8193 4.4656 11.2224
angles (deg): 90.00 107.77 90.00
Sites, in units of the cell vectors:
1 Y 0.1862 0.2500 0.1403
2 Y 0.8138 0.7500 0.8597
3 Tl 0.2458 0.7500 0.7198
4 Tl 0.7542 0.2500 0.2802
5 Cd 0.4231 0.7500 0.3885
6 Cd 0.5769 0.2500 0.6115
7 Te 0.0558 0.2500 0.8552
8 Te 0.2446 0.2500 0.4412
9 Te 0.4339 0.7500 0.1405
10 Te 0.5661 0.2500 0.8595
11 Te 0.7554 0.7500 0.5588
12 Te 0.9442 0.7500 0.1448

Run D
VASP calculation (PBE) on an optimized crystal structure of YTlCdTe3.

Properties
Total moment (μB/f.u.): 0.00

a b c (Å): 9.8599 9.8599 9.8380
angles (deg): 103.33 103.33 25.94
Sites, in units of the cell vectors:
1 Y 0.1756 0.1756 0.0879
2 Y 0.8244 0.8244 0.9121
3 Tl 0.1375 0.1375 0.5698
4 Tl 0.8625 0.8625 0.4302
5 Cd 0.4810 0.4810 0.7824
6 Cd 0.5190 0.5190 0.2176
7 Te 0.0000 0.0000 0.0000
8 Te 0.3262 0.3262 0.6960
9 Te 0.3378 0.3378 0.1362
10 Te 0.5000 0.5000 0.5000
11 Te 0.6622 0.6622 0.8638
12 Te 0.6738 0.6738 0.3040

Quick ranking, most stable first: run B, run C, run D, run A.

Run A
VASP calculation (PBE) on an optimized crystal structure of TmCdTe.

Properties
Total moment (μB/f.u.): 0.09

a b c (Å): 5.0814 5.0814 5.0814
angles (deg): 60.00 60.00 60.00
Sites, in units of the cell vectors:
1 Tm 0.0000 0.0000 0.0000
2 Cd 0.7500 0.7500 0.7500
3 Te 0.2500 0.2500 0.2500

Run B
VASP calculation (PBE) on an optimized crystal structure of TmCdTe.

Properties
Total moment (μB/f.u.): 0.01

a b c (Å): 5.1160 5.1160 5.1160
angles (deg): 60.00 60.00 60.00
Sites, in units of the cell vectors:
1 Tm 0.0000 0.0000 0.0000
2 Cd 0.5000 0.5000 0.5000
3 Te 0.7500 0.7500 0.7500

Quick ranking, most stable first: run A, run B.

Run A
VASP calculation (PBE) on an optimized crystal structure of CdTeW.

Properties
Total moment (μB/f.u.): 0.01

a b c (Å): 4.6253 4.6253 4.6253
angles (deg): 60.00 60.00 60.00
Sites, in units of the cell vectors:
1 Cd 0.0000 0.0000 0.0000
2 Te 0.2500 0.2500 0.2500
3 W 0.5000 0.5000 0.5000

Run B
VASP calculation (PBE) on an optimized crystal structure of CdTeW.

Properties
Total moment (μB/f.u.): 0.01

a b c (Å): 4.6137 4.6137 4.6137
angles (deg): 60.00 60.00 60.00
Sites, in units of the cell vectors:
1 Cd 0.0000 0.0000 0.0000
2 Te 0.5000 0.5000 0.5000
3 W 0.2500 0.2500 0.2500

Quick ranking, most stable first: run B, run A.

Run A
VASP calculation (PBE) on an optimized crystal structure of ZnCdTe.

a b c (Å): 7.5933 4.1913 9.3694
angles (deg): 90.00 90.00 90.00
Sites, in units of the cell vectors:
1 Zn 0.1316 0.2500 0.1349
2 Zn 0.3684 0.7500 0.6349
3 Zn 0.6316 0.2500 0.3651
4 Zn 0.8684 0.7500 0.8651
5 Cd 0.0199 0.2500 0.7118
6 Cd 0.4801 0.7500 0.2118
7 Cd 0.5199 0.2500 0.7882
8 Cd 0.9801 0.7500 0.2882
9 Te 0.2464 0.7500 0.9618
10 Te 0.2536 0.2500 0.4618
11 Te 0.7464 0.7500 0.5382
12 Te 0.7536 0.2500 0.0382

Run B
VASP calculation (PBE) on an optimized crystal structure of ZnCdTe.

a b c (Å): 7.6180 4.1292 9.9561
angles (deg): 90.00 90.00 90.00
Sites, in units of the cell vectors:
1 Zn 0.2019 0.2500 0.0108
2 Zn 0.2981 0.7500 0.5108
3 Zn 0.7019 0.2500 0.4892
4 Zn 0.7981 0.7500 0.9892
5 Cd 0.0359 0.2500 0.3925
6 Cd 0.4641 0.7500 0.8925
7 Cd 0.5359 0.2500 0.1075
8 Cd 0.9641 0.7500 0.6075
9 Te 0.0579 0.7500 0.1702
10 Te 0.4421 0.2500 0.6702
11 Te 0.5579 0.7500 0.3298
12 Te 0.9421 0.2500 0.8298

Quick ranking, most stable first: run B, run A.